[1]
Compound: Rb2SrMo
Source: the Alexandria database
Functional: PBE-GGA
Structure: optimized geometry

Summary:
magnetization: 4.46 μB/f.u.
DFT formation energy: 1.26 eV/atom
polymorph energy (0 for the lowest one): 0 meV/atom
DOS(E_F): 1.005 states/eV/atom

Cell: 5.252 5.252 29.118 Å, 90.00 90.00 90.00°
Space group I-42d (No. 122)
Unique sites:
Rb (0.231, 0.250, 0.125) [8 per cell]
Sr (0.000, 0.000, 0.500) [4 per cell]
Mo (0.000, 0.000, 0.000) [4 per cell]

[2]
Compound: Cs23K6Li
Source: the Alexandria database
Functional: PBE-GGA
Structure: optimized geometry

Summary:
magnetization: 0.00 μB/f.u.
DFT formation energy: 0.04 eV/atom
DOS(E_F): 1.115 states/eV/atom

Cell: 23.413 23.413 23.413 Å, 90.00 90.00 90.00°
Space group Fm-3m (No. 225)
Unique sites:
Cs (0.000, 0.000, 0.000) [4 per cell]
Cs (0.000, 0.250, 0.250) [24 per cell]
Cs (0.111, 0.111, 0.389) [32 per cell]
Cs (0.131, 0.131, 0.131) [32 per cell]
K (0.000, 0.000, 0.240) [24 per cell]
Li (0.000, 0.000, 0.500) [4 per cell]

[3]
Compound: Ti3CuNi3
Source: the Alexandria database
Functional: PBE-GGA
Structure: optimized geometry

Summary:
magnetization: 0.16 μB/f.u.
DFT formation energy: -0.25 eV/atom
DOS(E_F): 1.059 states/eV/atom

Cell: 7.0549 7.0549 4.3591 Å, 90.00 90.00 120.00°
Space group P6_3/m (No. 176)
Unique sites:
Ti (0.0902, 0.4355, 0.2500) [6 per cell]
Cu (0.3333, 0.6667, 0.7500) [2 per cell]
Ni (0.0432, 0.2295, 0.7500) [6 per cell]

[4]
Compound: YTlPb
Source: the Alexandria database
Functional: PBE-GGA
Structure: optimized geometry

Summary:
magnetization: 0.00 μB/f.u.
DFT formation energy: -0.22 eV/atom
polymorph energy (0 for the lowest one): 105 meV/atom
DOS(E_F): 0.856 states/eV/atom

Cell: 4.505 4.505 8.705 Å, 90.00 90.00 90.00°
Space group P4/nmm (No. 129, origin choice 2)
Unique sites:
Y (0.250, 0.250, 0.180) [2 per cell]
Tl (0.250, 0.750, 0.500) [2 per cell]
Pb (0.250, 0.250, 0.816) [2 per cell]